# 1
Entry from Alexandria via LeMat-Bulk: a relaxed structure of Pr3CCl2 (PBE).

Crystal system: monoclinic
Energy relative to the lowest polymorph listed for this composition (meV per atom): 0

The structure in extended XYZ format:
```
12
Lattice="3.401 -5.901 0.000 3.401 5.901 0.000 -2.265 0.000 7.090" Properties=species:S:1:pos:R:3 pbc="T T T"
Pr -0.085 2.125 5.678
Pr 0.955 0.000 1.407
Pr -0.085 -2.125 5.678
Pr 4.623 2.125 1.412
Pr 3.583 0.000 5.684
Pr 4.623 -2.125 1.412
C 3.401 3.938 0.000
C 3.401 -3.938 0.000
Cl -1.132 0.000 3.545
Cl 2.269 1.954 3.545
Cl 3.401 0.000 0.000
Cl 2.269 -1.954 3.545
```

# 2
Entry from Alexandria via LeMat-Bulk: a relaxed structure of Pr3CCl (PBE).

Crystal system: orthorhombic

The structure in extended XYZ format:
```
10
Lattice="3.709 0.000 0.000 0.000 9.463 0.000 0.000 0.000 7.502" Properties=species:S:1:pos:R:3 pbc="T T T"
Pr 0.927 0.717 1.280
Pr 0.927 2.366 5.733
Pr 0.927 4.015 1.280
Pr 2.782 5.448 6.221
Pr 2.782 7.097 1.769
Pr 2.782 8.746 6.221
C 0.927 7.097 0.077
C 2.782 2.366 7.425
Cl 0.927 7.097 4.220
Cl 2.782 2.366 3.282
```

# 3
Entry from Alexandria via LeMat-Bulk: a relaxed structure of Pr8Pt3CCl4 (PBE).

Crystal system: monoclinic

The structure in extended XYZ format:
```
16
Lattice="7.201 -4.156 0.000 7.201 4.156 0.000 -4.810 0.000 7.366" Properties=species:S:1:pos:R:3 pbc="T T T"
Pr 3.682 2.226 5.175
Pr -0.169 0.000 5.177
Pr 5.909 2.226 2.192
Pr 2.395 0.000 2.125
Pr 7.196 0.000 5.241
Pr 3.682 -2.226 5.175
Pr 9.760 0.000 2.189
Pr 5.909 -2.226 2.192
Pt 1.195 2.078 3.683
Pt 1.195 -2.078 3.683
Pt 4.796 0.000 3.683
C -2.405 0.000 3.683
Cl 0.000 0.000 0.000
Cl 3.600 2.078 0.000
Cl 3.600 -2.078 0.000
Cl 7.201 0.000 0.000
```

# 4
Entry from Alexandria via LeMat-Bulk: a relaxed structure of Pr8Rh3CCl4 (PBE).

Crystal system: monoclinic

The structure in extended XYZ format:
```
16
Lattice="7.059 -4.075 0.000 7.059 4.075 0.000 -4.714 0.000 7.530" Properties=species:S:1:pos:R:3 pbc="T T T"
Pr -0.129 0.000 5.237
Pr 3.590 2.149 5.236
Pr 5.813 2.149 2.294
Pr 2.348 0.000 2.175
Pr 7.055 0.000 5.355
Pr 3.590 -2.149 5.236
Pr 5.813 -2.149 2.294
Pr 9.532 0.000 2.293
Rh 1.172 2.037 3.765
Rh 1.172 -2.037 3.765
Rh 4.702 0.000 3.765
C -2.357 0.000 3.765
Cl 0.000 0.000 0.000
Cl 3.529 2.037 0.000
Cl 3.529 -2.037 0.000
Cl 7.059 0.000 0.000
```

# 5
Entry from Alexandria via LeMat-Bulk: a relaxed structure of Pr6Ru2CCl3 (PBE).

Crystal system: monoclinic

The structure in extended XYZ format:
```
12
Lattice="3.505 -6.069 0.000 3.505 6.069 0.000 -2.318 0.000 7.475" Properties=species:S:1:pos:R:3 pbc="T T T"
Pr 1.084 1.898 1.472
Pr -0.098 0.000 6.010
Pr 1.084 -1.898 1.472
Pr 3.608 1.898 6.003
Pr 4.790 0.000 1.464
Pr 3.608 -1.898 6.003
Ru 3.505 2.041 0.000
Ru 3.505 -2.041 0.000
C 0.000 0.000 0.000
Cl 2.346 4.114 3.737
Cl 2.346 0.000 3.737
Cl 2.346 -4.114 3.737
```

# 6
Entry from Alexandria via LeMat-Bulk: a relaxed structure of Pr4RuCCl2 (PBE).

Crystal system: monoclinic

The structure in extended XYZ format:
```
8
Lattice="7.023 0.000 0.000 0.000 3.938 0.000 -2.124 0.000 7.403" Properties=species:S:1:pos:R:3 pbc="T T T"
Pr 1.187 0.000 1.389
Pr -0.031 1.969 5.914
Pr 4.930 1.969 1.490
Pr 3.711 0.000 6.015
Ru 3.511 0.000 0.000
C 0.000 1.969 0.000
Cl -1.062 0.000 3.702
Cl 2.449 1.969 3.702
```

# 7
Entry from Alexandria via LeMat-Bulk: a relaxed structure of Pr4CSCl2 (PBE).

Crystal system: monoclinic

The structure in extended XYZ format:
```
8
Lattice="7.044 0.000 0.000 0.000 3.945 0.000 -2.261 0.000 6.980" Properties=species:S:1:pos:R:3 pbc="T T T"
Pr 1.027 0.000 1.399
Pr -0.163 1.973 5.536
Pr 4.946 1.973 1.444
Pr 3.757 0.000 5.581
C 0.000 1.973 0.000
S 3.522 0.000 0.000
Cl -1.131 0.000 3.490
Cl 2.392 1.973 3.490
```

# 8
Entry from Alexandria via LeMat-Bulk: a relaxed structure of Pr8C3SCl4 (PBE).

Crystal system: trigonal

The structure in extended XYZ format:
```
16
Lattice="3.904 2.254 7.146 -3.904 2.254 7.146 0.000 -4.508 7.146" Properties=species:S:1:pos:R:3 pbc="T T T"
Pr -2.079 -1.200 12.132
Pr 0.000 0.000 4.957
Pr 0.000 -2.400 9.307
Pr -2.079 1.200 9.307
Pr 2.079 -1.200 12.132
Pr 0.000 2.400 12.132
Pr 0.000 0.000 16.482
Pr 2.079 1.200 9.307
C -3.904 0.000 10.720
C -1.952 1.127 3.573
C 1.952 1.127 3.573
S 0.000 0.000 10.720
Cl 0.000 0.000 0.000
Cl -1.952 -1.127 7.146
Cl -1.952 1.127 14.293
Cl 0.000 2.254 7.146
```

Number 1: formation energy (no corrections) -1.14 eV/atom, Fermi-level density of states 0.353 states/eV/atom. Number 2: formation energy (no corrections) -0.36 eV/atom, Fermi-level density of states 0.539 states/eV/atom. Number 3: formation energy (no corrections) -1.18 eV/atom, Fermi-level density of states 0.918 states/eV/atom. Number 4: formation energy (no corrections) -1.05 eV/atom, Fermi-level density of states 0.578 states/eV/atom. Number 5: formation energy (no corrections) -0.87 eV/atom, Fermi-level density of states 0.763 states/eV/atom. Number 6: formation energy (no corrections) -0.89 eV/atom, Fermi-level density of states 0.489 states/eV/atom. Number 7: formation energy (no corrections) -1.38 eV/atom, Fermi-level density of states 0.273 states/eV/atom. Number 8: formation energy (no corrections) -1.19 eV/atom, Fermi-level density of states 0.404 states/eV/atom.